No. 1
Compound: Np3S2N2
Source: Alexandria
Functional: PBE
Structure: optimized geometry

Cell lengths 3.793, 6.627, 6.466 Å; angles 118.31, 90.00, 106.63 degrees
Last column: magnetic moment on the atom in μB.
Atoms (fractional coordinates):
Np: 0.787 0.574 0.314  3.58
N: 0.185 0.371 0.317  -0.17
S: 0.594 0.189 0.830  -0.11
S: 0.406 0.811 0.170  -0.11
Np: 0.213 0.426 0.686  3.58
Np: 0.000 0.000 0.000  3.51
N: 0.815 0.629 0.683  -0.17

Properties
**Formation energy from raw total energies**: -1.33 eV/atom
**Crystal system**: monoclinic
**D(E_F)**: 18.7 states/eV/cell
**SG**: C2/m, No. 12

***

No. 2
Compound: Ac3ErSe4
Source: Alexandria
Functional: PBE
Structure: optimized geometry

Cell lengths 7.461, 7.722, 8.654 Å; angles 90.00, 90.00, 109.06 degrees
Atoms (fractional coordinates):
Er: 0.750 0.000 0.876
Er: 0.250 0.000 0.124
Se: 0.001 0.227 0.113
Se: 0.999 0.773 0.887
Se: 0.485 0.235 0.362
Ac: 0.250 0.500 0.377
Se: 0.515 0.765 0.638
Ac: 0.250 0.000 0.627
Se: 0.499 0.773 0.113
Ac: 0.750 0.500 0.623
Ac: 0.250 0.500 0.874
Ac: 0.750 0.000 0.373
Se: 0.985 0.235 0.638
Ac: 0.750 0.500 0.126
Se: 0.015 0.765 0.362
Se: 0.501 0.227 0.887

Properties
**Formation energy from raw total energies**: -1.79 eV/atom
**Crystal system**: monoclinic
**D(E_F)**: 8.0 states/eV/cell
**SG**: P2/c, No. 13

***

No. 3
Compound: CsOs3Cl
Source: Alexandria
Functional: PBE
Structure: optimized geometry

Cell lengths 5.147, 5.147, 5.147 Å; angles 90.00, 90.00, 90.00 degrees
Last column: magnetic moment on the atom in μB.
Atoms (fractional coordinates):
Os: 0.000 0.000 0.500  1.95
Os: 0.000 0.500 0.000  2.28
Os: 0.500 0.000 0.000  2.15
Cl: 0.500 0.500 0.500  0.30
Cs: 0.000 0.000 0.000  0.02

Properties
**Offset from the most stable computed form**: 1481 meV per atom
**Formation energy from raw total energies**: 4.04 eV/atom
**Crystal system**: cubic
**D(E_F)**: 5.6 states/eV/cell
**SG**: Pm-3m, No. 221

***

No. 4
Compound: MgAl9Ni3
Source: Alexandria
Functional: PBE
Structure: optimized geometry

Cell lengths 5.068, 6.602, 6.712 Å; angles 82.13, 67.82, 68.73 degrees
Atoms (fractional coordinates):
Ni: 0.000 0.000 0.500
Al: 0.293 0.213 0.223
Al: 0.011 0.334 0.646
Mg: 0.000 0.000 0.000
Ni: 0.500 0.000 0.500
Ni: 0.500 0.500 0.000
Al: 0.516 0.213 0.777
Al: 0.989 0.666 0.354
Al: 0.657 0.334 0.354
Al: 0.343 0.666 0.646
Al: 0.707 0.787 0.777
Al: 0.000 0.500 0.000
Al: 0.484 0.787 0.223

Properties
**Crystal system**: monoclinic
**Calculated formation energy**: -0.3181 eV per atom
**D(E_F)**: 3.6 states/eV/cell
**SG**: C2/m, No. 12

***

No. 5
Compound: AcSmTm14
Source: Alexandria
Functional: PBE
Structure: optimized geometry

Cell lengths 7.194, 7.194, 11.191 Å; angles 90.00, 90.00, 119.89 degrees
Atoms (fractional coordinates):
Tm: 0.166 0.333 0.500
Tm: 0.834 0.166 0.252
Tm: 0.667 0.834 0.500
Tm: 0.335 0.665 0.255
Tm: 0.168 0.334 0.000
Tm: 0.666 0.832 0.000
Tm: 0.334 0.169 0.257
Tm: 0.831 0.666 0.743
Tm: 0.167 0.833 0.500
Tm: 0.334 0.169 0.743
Tm: 0.831 0.666 0.257
Tm: 0.335 0.665 0.745
Tm: 0.667 0.333 0.500
Tm: 0.834 0.166 0.748
Sm: 0.665 0.335 0.000
Ac: 0.165 0.835 0.000

Properties
**Crystal system**: orthorhombic
**Calculated formation energy**: 0.0152 eV per atom
**D(E_F)**: 24.5 states/eV/cell
**SG**: Amm2, No. 38

***

No. 6
Compound: Tb5Pm4Sm3
Source: Alexandria
Functional: PBE
Structure: optimized geometry

Cell lengths 7.211, 11.410, 13.009 Å; angles 151.29, 56.35, 129.26 degrees
Atoms (fractional coordinates):
Tb: 0.249 0.500 0.000
Tb: 0.500 0.000 0.500
Tb: 0.332 0.666 0.834
Tb: 0.668 0.334 0.166
Pm: 0.832 0.664 0.832
Sm: 0.418 0.835 0.667
Sm: 0.000 0.000 0.500
Pm: 0.083 0.165 0.332
Sm: 0.582 0.165 0.333
Pm: 0.168 0.336 0.168
Pm: 0.917 0.835 0.668
Tb: 0.751 0.500 0.000

Properties
**Offset from the most stable computed form**: 0 meV per atom
**Crystal system**: triclinic
**Calculated formation energy**: 0.0131 eV per atom
**D(E_F)**: 15.8 states/eV/cell
**SG**: P-1, No. 2

***

No. 7
Compound: BaTa2W
Source: Alexandria
Functional: PBE
Structure: optimized geometry

Cell lengths 6.284, 6.284, 6.284 Å; angles 151.99, 124.67, 63.14 degrees
Atoms (fractional coordinates):
W: 0.750 0.250 0.500
Ba: 0.250 0.750 0.500
Ta: 0.954 0.954 0.000
Ta: 0.546 0.546 0.000

Properties
**Offset from the most stable computed form**: 518 meV per atom
**Crystal system**: orthorhombic
**Calculated formation energy**: 1.1158 eV per atom
**D(E_F)**: 4.7 states/eV/cell
**SG**: Immm, No. 71

***

No. 8
Compound: BeCrBr2
Source: Alexandria
Functional: PBE
Structure: optimized geometry

Cell lengths 10.291, 10.291, 10.291 Å; angles 18.98, 18.98, 18.98 degrees
Last column: magnetic moment on the atom in μB.
Atoms (fractional coordinates):
Br: 0.879 0.879 0.879  0.01
Cr: 0.000 0.000 0.000  4.18
Be: 0.500 0.500 0.500  0.00
Br: 0.121 0.121 0.121  0.01

Properties
**Offset from the most stable computed form**: 234 meV per atom
**Formation energy from raw total energies**: 0.16 eV/atom
**Crystal system**: trigonal
**D(E_F)**: 0.6 states/eV/cell
**SG**: R-3m, No. 166

***

No. 9
Compound: H6Se3Br
Source: Alexandria
Functional: PBE
Structure: optimized geometry

Cell lengths 4.799, 6.877, 6.877 Å; angles 114.76, 103.45, 103.45 degrees
Last column: magnetic moment on the atom in μB.
Atoms (fractional coordinates):
H: 0.084 0.000 0.596  0.00
Se: 0.823 0.000 0.428  0.13
H: 0.084 0.596 0.000  0.00
Se: 0.395 0.572 0.572  0.13
Br: 0.240 0.000 0.000  0.01
Se: 0.823 0.428 0.000  0.13
H: 0.999 0.000 0.272  0.00
H: 0.728 0.728 0.728  0.00
H: 0.488 0.404 0.404  0.00
H: 0.999 0.272 0.000  0.00

Properties
**Crystal system**: trigonal
**E_tot**: -32.039 eV/cell
**D(E_F)**: 3.8 states/eV/cell
**SG**: R3m, No. 160

***

No. 10
Compound: DySi4Os2
Source: Alexandria
Functional: PBE
Structure: optimized geometry

Cell lengths 4.074, 6.645, 16.235 Å; angles 90.00, 90.00, 90.00 degrees
Atoms (fractional coordinates):
Si: 0.750 0.280 0.799
Os: 0.750 0.258 0.952
Si: 0.250 0.780 0.701
Si: 0.250 0.373 0.021
Si: 0.750 0.847 0.806
Si: 0.250 0.484 0.448
Si: 0.750 0.627 0.979
Dy: 0.250 0.570 0.858
Os: 0.250 0.057 0.801
Si: 0.250 0.347 0.694
Os: 0.750 0.242 0.452
Dy: 0.250 0.930 0.358
Si: 0.250 0.153 0.194
Os: 0.750 0.943 0.199
Si: 0.750 0.984 0.052
Si: 0.250 0.016 0.948
Os: 0.250 0.758 0.548
Os: 0.250 0.443 0.301
Dy: 0.750 0.070 0.642
Si: 0.250 0.720 0.201
Si: 0.750 0.516 0.552
Si: 0.750 0.653 0.306
Si: 0.750 0.220 0.299
Si: 0.750 0.873 0.479
Os: 0.250 0.742 0.048
Os: 0.750 0.557 0.699
Dy: 0.750 0.430 0.142
Si: 0.250 0.127 0.521

Properties
**Formation energy from raw total energies**: -0.55 eV/atom
**Crystal system**: orthorhombic
**D(E_F)**: 8.0 states/eV/cell
**SG**: Pnma, No. 62

***

No. 11
Compound: LaTiCu
Source: Alexandria
Functional: PBE
Structure: optimized geometry

Cell lengths 7.675, 4.461, 7.619 Å; angles 90.00, 90.00, 90.00 degrees
Atoms (fractional coordinates):
La: 0.529 0.250 0.660
La: 0.971 0.750 0.160
Cu: 0.298 0.250 0.119
Ti: 0.628 0.250 0.067
Ti: 0.372 0.750 0.933
Cu: 0.798 0.250 0.381
Cu: 0.702 0.750 0.881
Ti: 0.128 0.250 0.433
Cu: 0.202 0.750 0.619
La: 0.471 0.750 0.340
La: 0.029 0.250 0.840
Ti: 0.872 0.750 0.567

Properties
**Offset from the most stable computed form**: 57 meV per atom
**Crystal system**: orthorhombic
**Calculated formation energy**: 0.0704 eV per atom
**D(E_F)**: 16.7 states/eV/cell
**SG**: Pnma, No. 62

***

No. 12
Compound: CaLaH
Source: Alexandria
Functional: PBE
Structure: optimized geometry

Cell lengths 3.830, 3.949, 5.457 Å; angles 90.00, 90.00, 90.00 degrees
Atoms (fractional coordinates):
La: 0.500 0.000 0.650
Ca: 0.000 0.500 0.113
H: 0.500 0.500 0.877

Properties
**Offset from the most stable computed form**: 23 meV per atom
**Crystal system**: orthorhombic
**D(E_F)**: 3.5 states/eV/cell
**SG**: Pmm2, No. 25

***

| no. | total moment (μB per atom) |
| --- | --- |
| 1 | 1.57 |
| 2 | 0.00 |
| 3 | 1.49 |
| 4 | 0.00 |
| 5 | 0.00 |
| 6 | 0.00 |
| 7 | 0.00 |
| 8 | 1.26 |
| 9 | 0.06 |
| 10 | 0.00 |
| 11 | 0.00 |
| 12 | 0.07 |